1.
PBE-GGA CuSiOs2, optimized geometry; space-group type = P4/mmm (123); total energy = -7.915 eV per atom; formation energy (no corrections) = 0.3 eV per formula unit; DOS(E_F) = 0.67 states/eV per atom
1.0
2.9423 0.0000 0.0000
0.0000 2.9423 0.0000
0.0000 0.0000 6.0651
Cu Os Si
1 2 1
Direct
0.5000 0.5000 0.7500 Cu
0.0000 0.0000 0.0202 Os
0.0000 0.0000 0.4798 Os
0.5000 0.5000 0.2500 Si

2.
PBE-GGA Cu3SiOs, optimized geometry; space-group type = Pm-3m (221); relative energy among the computed polymorphs = 414.4 meV per atom; total energy = -4.238 eV per atom; formation energy (no corrections) = 7.7 eV per formula unit; DOS(E_F) = 0.86 states/eV per atom
1.0
-4.5332 -0.3182 0.8543
0.5639 -4.3835 1.3595
0.7163 1.4370 4.3363
Si Os Cu
1 1 3
Direct
0.5000 0.5000 0.5000 Si
0.0000 0.0000 0.0000 Os
0.0000 0.5000 0.0000 Cu
0.0000 0.0000 0.5000 Cu
0.5000 0.0000 0.0000 Cu

3.
PBE-GGA CuSiOs3, optimized geometry; space-group type = Pm-3m (221); relative energy among the computed polymorphs = 0.0 meV per atom; total energy = -7.251 eV per atom; formation energy (no corrections) = 7.0 eV per formula unit; DOS(E_F) = 0.98 states/eV per atom
1.0
-0.2484 1.3575 4.1506
-3.0667 -3.0139 0.8021
3.1089 -2.8645 1.1229
Si Os Cu
1 3 1
Direct
0.0000 0.0000 0.0000 Si
0.0000 0.5000 0.0000 Os
0.0000 0.0000 0.5000 Os
0.5000 0.0000 0.0000 Os
0.5000 0.5000 0.5000 Cu